[1]
## Ce4GeOs2 (PBE-GGA)

Data for a relaxed structure of Ce4GeOs2.

Cell: 7.5777 7.5622 8.9490 Å, 53.85 53.69 72.47°
Closest atoms and distances in Å follow each position.
Sites, in units of the cell vectors:
Ce  0.0774  0.2062  0.0415  2 Os 2.68-2.88, 1 Ge 2.95
Ce  0.2062  0.0774  0.6749  2 Os 2.68-2.88, 1 Ge 2.95
Ce  0.2085  0.5751  0.1726  2 Os 2.68-2.88, 1 Ge 2.95
Ce  0.3173  0.6827  0.4352  2 Os 2.68-2.88, 1 Ge 2.96
Ce  0.5751  0.2085  0.0438  2 Os 2.68-2.88, 1 Ge 2.95
Ce  0.6827  0.3173  0.5648  2 Os 2.68-2.88, 1 Ge 2.96
Ce  0.6852  0.8148  0.5673  2 Os 2.68-2.88, 1 Ge 2.96
Ce  0.8148  0.6852  0.9327  2 Os 2.68-2.88, 1 Ge 2.96
Ge  0.0710  0.0710  0.4290  8 Ce 2.95-3.18
Ge  0.8210  0.8210  0.1790  8 Ce 2.95-3.18
Os  0.3081  0.5837  0.8038  4 Ce 2.68-2.88
Os  0.4462  0.9457  0.9419  4 Ce 2.68-2.88
Os  0.5837  0.3081  0.3043  4 Ce 2.68-2.88
Os  0.9457  0.4462  0.6663  4 Ce 2.68-2.88

Properties
As for the crystal system: orthorhombic. As for the calculated total energy: -105.961 eV for the cell shown. Its density of states at the Fermi level is 28.45 states/eV/cell.

---

[2]
## Ce3Ge4Os (PBE-GGA)

Data for a relaxed structure of Ce3Ge4Os.

Cell: 10.0492 10.0492 3.9138 Å, 90.00 90.00 153.99°
Closest atoms and distances in Å follow each position.
Sites, in units of the cell vectors:
Ce  0.0000  0.0000  0.0000  4 Ge 2.91, 4 Os 2.99
Ce  0.1553  0.8447  0.5000  10 Ge 3.10-3.26
Ce  0.8447  0.1553  0.5000  10 Ge 3.10-3.26
Ge  0.2780  0.7220  0.0000  3 Ge 2.51-2.52
Ge  0.4068  0.5932  0.0000  1 Ge 2.52, 2 Os 2.68
Ge  0.5932  0.4068  0.0000  1 Ge 2.52, 2 Os 2.68
Ge  0.7220  0.2780  0.0000  3 Ge 2.51-2.52
Os  0.5000  0.5000  0.5000  4 Ge 2.68, 4 Ce 2.99

Properties
As for the crystal system: orthorhombic. As for the calculated total energy: -51.798 eV for the cell shown. Its density of states at the Fermi level is 13.97 states/eV/cell.

---

[3]
## Ce3Ge4Os2 (PBE-GGA)

Data for a relaxed structure of Ce3Ge4Os2.

Cell: 5.9327 5.9327 8.2468 Å, 105.62 105.62 42.80°
Closest atoms and distances in Å follow each position.
Sites, in units of the cell vectors:
Ce  0.0000  0.0000  0.0000  8 Ge 2.98-3.29, 4 Os 3.09
Ce  0.3248  0.3248  0.3570  3 Os 2.92-3.20, 7 Ge 3.11-3.19
Ce  0.6752  0.6752  0.6430  3 Os 2.92-3.20, 7 Ge 3.11-3.19
Ge  0.0397  0.0397  0.3729  2 Os 2.48, 1 Ge 2.50
Ge  0.2661  0.2661  0.9225  1 Os 2.47, 2 Ge 2.59
Ge  0.7339  0.7339  0.0775  1 Os 2.47, 2 Ge 2.59
Ge  0.9603  0.9603  0.6271  2 Os 2.48, 1 Ge 2.50
Os  0.3981  0.3981  0.7268  3 Ge 2.47-2.48
Os  0.6019  0.6019  0.2732  3 Ge 2.47-2.48

Properties
As for the crystal system: monoclinic. The energy relative to the lowest polymorph listed for this composition comes out at 32 meV/atom. As for the calculated total energy: -63.607 eV for the cell shown. Its density of states at the Fermi level is 8.00 states/eV/cell.

---

[4]
## Ce4GeOs (PBE-GGA)

Data for a relaxed structure of Ce4GeOs.

Cell: 8.1000 8.1000 6.9475 Å, 111.43 111.43 111.92°
Closest atoms and distances in Å follow each position.
Sites, in units of the cell vectors:
Ce  0.0266  0.4982  0.2467  2 Os 2.84-3.01, 1 Ce 2.99, 2 Ge 3.04
Ce  0.2206  0.2491  0.2471  2 Os 2.84-3.01, 1 Ce 2.99, 2 Ge 3.04
Ce  0.2491  0.2206  0.7471  2 Os 2.84-3.01, 1 Ce 2.99, 2 Ge 3.04
Ce  0.4982  0.0266  0.7467  2 Os 2.84-3.01, 1 Ce 2.99, 2 Ge 3.04
Ce  0.5018  0.9734  0.2533  2 Os 2.84-3.01, 1 Ce 2.99, 2 Ge 3.04
Ce  0.7509  0.7794  0.2529  2 Os 2.84-3.01, 1 Ce 2.99, 2 Ge 3.04
Ce  0.7794  0.7509  0.7529  2 Os 2.84-3.01, 1 Ce 2.99, 2 Ge 3.04
Ce  0.9734  0.5018  0.7533  2 Os 2.84-3.01, 1 Ce 2.99, 2 Ge 3.04
Ge  0.3748  0.6252  0.7500  8 Ce 3.04
Ge  0.6252  0.3748  0.2500  8 Ce 3.04
Os  0.1248  0.8752  0.2500  8 Ce 2.84-3.01
Os  0.8752  0.1248  0.7500  8 Ce 2.84-3.01

Properties
As for the crystal system: monoclinic. The energy relative to the lowest polymorph listed for this composition comes out at 86 meV/atom. As for the calculated total energy: -82.046 eV for the cell shown. Its density of states at the Fermi level is 30.85 states/eV/cell.

---

[5]
## Ce6Ge2Os (PBE-GGA)

Data for a relaxed structure of Ce6Ge2Os.

Cell: 8.0741 8.0741 3.9494 Å, 90.00 90.00 120.00°
Closest atoms and distances in Å follow each position.
Sites, in units of the cell vectors:
Ce  0.0000  0.2556  0.0000  2 Os 2.86, 2 Ge 3.05
Ce  0.0000  0.5863  0.5000  4 Ge 3.13, 2 Ce 3.32, 1 Os 3.34
Ce  0.2556  0.0000  0.0000  2 Os 2.86, 2 Ge 3.05
Ce  0.4137  0.4137  0.5000  4 Ge 3.13, 2 Ce 3.32, 1 Os 3.34
Ce  0.5863  0.0000  0.5000  4 Ge 3.13, 2 Ce 3.32, 1 Os 3.34
Ce  0.7444  0.7444  0.0000  2 Os 2.86, 2 Ge 3.05
Ge  0.3333  0.6667  0.0000  9 Ce 3.05-3.13
Ge  0.6667  0.3333  0.0000  9 Ce 3.05-3.13
Os  0.0000  0.0000  0.5000  6 Ce 2.86

Properties
As for the crystal system: hexagonal. As for the calculated total energy: -60.082 eV for the cell shown. Its density of states at the Fermi level is 22.08 states/eV/cell.

---

[6]
## CeGe3Os (PBE-GGA)

Data for a relaxed structure of CeGe3Os.

Cell: 6.2059 5.6828 5.7729 Å, 90.00 90.00 90.00°
Closest atoms and distances in Å follow each position.
Sites, in units of the cell vectors:
Ce  0.0000  0.1400  0.0000  7 Ge 2.92-3.15, 1 Os 3.05
Ce  0.5000  0.8600  0.5000  7 Ge 2.92-3.15, 1 Os 3.05
Ge  0.0000  0.9035  0.5505  1 Os 2.39
Ge  0.2364  0.3244  0.4477  2 Os 2.43-2.47
Ge  0.2636  0.6756  0.9477  2 Os 2.43-2.47
Ge  0.5000  0.0965  0.0505  1 Os 2.39
Ge  0.7364  0.6756  0.9477  2 Os 2.43-2.47
Ge  0.7636  0.3244  0.4477  2 Os 2.43-2.47
Os  0.0000  0.6115  0.2516  5 Ge 2.39-2.47
Os  0.5000  0.3885  0.7516  5 Ge 2.39-2.47

Properties
As for the crystal system: orthorhombic. As for the calculated total energy: -65.977 eV for the cell shown. Its density of states at the Fermi level is 7.48 states/eV/cell.

---

[7]
## Ce5GeOs (PBE-GGA)

Data for a relaxed structure of Ce5GeOs.

Cell: 6.1307 6.1307 9.5725 Å, 96.77 96.77 90.48°
Closest atoms and distances in Å follow each position.
Sites, in units of the cell vectors:
Ce  0.0077  0.6254  0.3218  1 Os 2.70, 2 Ce 2.86-2.99
Ce  0.1625  0.8375  0.7500  2 Os 2.78, 2 Ce 2.99, 1 Ge 3.10
Ce  0.2034  0.4271  0.9631  2 Ce 2.80-2.86, 1 Os 2.97, 2 Ge 3.02-3.04
Ce  0.3746  0.9923  0.1782  1 Os 2.70, 2 Ce 2.86-2.99
Ce  0.4271  0.2034  0.4631  2 Ce 2.80-2.86, 1 Os 2.97, 2 Ge 3.02-3.04
Ce  0.5729  0.7966  0.5369  2 Ce 2.80-2.86, 1 Os 2.97, 2 Ge 3.02-3.04
Ce  0.6254  0.0077  0.8218  1 Os 2.70, 2 Ce 2.86-2.99
Ce  0.7966  0.5729  0.0369  2 Ce 2.80-2.86, 1 Os 2.97, 2 Ge 3.02-3.04
Ce  0.8375  0.1625  0.2500  2 Os 2.78, 2 Ce 2.99, 1 Ge 3.10
Ce  0.9923  0.3746  0.6782  1 Os 2.70, 2 Ce 2.86-2.99
Ge  0.4810  0.5190  0.2500  9 Ce 3.02-3.27
Ge  0.5190  0.4810  0.7500  9 Ce 3.02-3.27
Os  0.0000  0.0000  0.0000  6 Ce 2.70-2.97
Os  0.0000  0.0000  0.5000  6 Ce 2.70-2.97

Properties
As for the crystal system: monoclinic. As for the calculated total energy: -94.163 eV for the cell shown. Its density of states at the Fermi level is 34.38 states/eV/cell.

---

[8]
## Ce6GeOs3 (PBE-GGA)

Data for a relaxed structure of Ce6GeOs3.

Cell: 11.2361 4.1339 11.7084 Å, 90.00 107.11 90.00°
Closest atoms and distances in Å follow each position.
Sites, in units of the cell vectors:
Ce  0.0330  0.2500  0.3938  3 Os 2.71-2.77
Ce  0.1072  0.2500  0.9436  4 Os 2.76-2.88
Ce  0.2257  0.7500  0.2631  3 Os 2.87-2.92, 2 Ge 3.16
Ce  0.2868  0.7500  0.7607  3 Os 2.71-2.92
Ce  0.3752  0.2500  0.5432  2 Os 2.87, 3 Ge 3.07-3.16
Ce  0.4129  0.7500  0.0941  3 Os 2.77-2.87
Ce  0.5871  0.2500  0.9059  3 Os 2.77-2.87
Ce  0.6248  0.7500  0.4568  2 Os 2.87, 3 Ge 3.07-3.16
Ce  0.7132  0.2500  0.2393  3 Os 2.71-2.92
Ce  0.7743  0.2500  0.7369  3 Os 2.87-2.92, 2 Ge 3.16
Ce  0.8928  0.7500  0.0564  4 Os 2.76-2.88
Ce  0.9670  0.7500  0.6062  3 Os 2.71-2.77
Ge  0.4470  0.2500  0.3020  8 Ce 3.07-3.28
Ge  0.5530  0.7500  0.6980  8 Ce 3.07-3.28
Os  0.0474  0.2500  0.1666  6 Ce 2.71-2.88
Os  0.1903  0.7500  0.5000  6 Ce 2.77-2.92
Os  0.3439  0.2500  0.9167  6 Ce 2.71-2.87
Os  0.6561  0.7500  0.0833  6 Ce 2.71-2.87
Os  0.8097  0.2500  0.5000  6 Ce 2.77-2.92
Os  0.9526  0.7500  0.8334  6 Ce 2.71-2.88

Properties
As for the crystal system: monoclinic. As for the calculated total energy: -152.558 eV for the cell shown. Its density of states at the Fermi level is 40.97 states/eV/cell.

---

[9]
## Ce3Ge2Os (PBE-GGA)

Data for a relaxed structure of Ce3Ge2Os.

Cell: 12.1345 4.3918 10.5181 Å, 90.00 90.00 90.00°
Closest atoms and distances in Å follow each position.
Sites, in units of the cell vectors:
Ce  0.0483  0.2500  0.0993  1 Os 2.79, 4 Ge 3.05-3.12
Ce  0.1217  0.7500  0.5568  3 Os 2.98-3.06, 5 Ge 3.10-3.13, 1 Ce 3.32
Ce  0.2404  0.2500  0.7840  2 Os 2.93, 5 Ge 3.07-3.17
Ce  0.2596  0.7500  0.2840  2 Os 2.93, 5 Ge 3.07-3.17
Ce  0.3783  0.2500  0.0568  3 Os 2.98-3.06, 5 Ge 3.10-3.13, 1 Ce 3.32
Ce  0.4517  0.7500  0.5993  1 Os 2.79, 4 Ge 3.05-3.12
Ce  0.5483  0.2500  0.4007  1 Os 2.79, 4 Ge 3.05-3.12
Ce  0.6217  0.7500  0.9432  3 Os 2.98-3.06, 5 Ge 3.10-3.13, 1 Ce 3.32
Ce  0.7404  0.2500  0.7160  2 Os 2.93, 5 Ge 3.07-3.17
Ce  0.7596  0.7500  0.2160  2 Os 2.93, 5 Ge 3.07-3.17
Ce  0.8783  0.2500  0.4432  3 Os 2.98-3.06, 5 Ge 3.10-3.13, 1 Ce 3.32
Ce  0.9517  0.7500  0.9007  1 Os 2.79, 4 Ge 3.05-3.12
Ge  0.0035  0.7500  0.2940  2 Os 2.64
Ge  0.2041  0.7500  0.9893  1 Os 2.65
Ge  0.2959  0.2500  0.4893  1 Os 2.65
Ge  0.4965  0.2500  0.7940  2 Os 2.64
Ge  0.5035  0.7500  0.2060  2 Os 2.64
Ge  0.7041  0.7500  0.5107  1 Os 2.65
Ge  0.7959  0.2500  0.0107  1 Os 2.65
Ge  0.9965  0.2500  0.7060  2 Os 2.64
Os  0.1116  0.2500  0.3543  3 Ge 2.64-2.65, 3 Ce 2.79-2.93
Os  0.3884  0.7500  0.8543  3 Ge 2.64-2.65, 3 Ce 2.79-2.93
Os  0.6116  0.2500  0.1457  3 Ge 2.64-2.65, 3 Ce 2.79-2.93
Os  0.8884  0.7500  0.6457  3 Ge 2.64-2.65, 3 Ce 2.79-2.93

Properties
As for the crystal system: orthorhombic. The energy relative to the lowest polymorph listed for this composition comes out at 0 meV/atom. As for the calculated total energy: -167.544 eV for the cell shown. Its density of states at the Fermi level is 44.18 states/eV/cell.

---

[10]
## Ce2Ge6Os (PBE-GGA)

Data for a relaxed structure of Ce2Ge6Os.

Cell: 4.1252 11.3373 11.3373 Å, 20.84 90.00 90.00°
Closest atoms and distances in Å follow each position.
Sites, in units of the cell vectors:
Ce  0.0000  0.0000  0.0000  4 Os 3.12, 8 Ge 3.18-3.32
Ce  0.0000  0.3311  0.3311  10 Ge 3.05-3.22
Ge  0.0000  0.6161  0.6161  1 Ge 2.52, 2 Os 2.52
Ge  0.0000  0.7289  0.7289  1 Ge 2.52
Ge  0.5000  0.1166  0.1166  2 Os 2.52, 1 Ge 2.52
Ge  0.5000  0.2296  0.2296  1 Ge 2.52
Ge  0.5000  0.4420  0.4420  1 Os 2.43, 2 Ge 2.57
Ge  0.5000  0.8727  0.8727  2 Ge 2.57
Os  0.5000  0.5509  0.5509  5 Ge 2.43-2.52

Properties
As for the crystal system: orthorhombic. As for the calculated total energy: -54.023 eV for the cell shown. Its density of states at the Fermi level is 10.49 states/eV/cell.

---

[11]
## Ce3Ge7Os2 (PBE-GGA)

Data for a relaxed structure of Ce3Ge7Os2.

Cell: 13.1499 13.1499 4.3300 Å, 90.00 90.00 160.98°
Closest atoms and distances in Å follow each position.
Sites, in units of the cell vectors:
Ce  0.0000  0.0000  0.0000  12 Ge 3.06-3.07, 2 Os 3.33
Ce  0.3178  0.6822  0.5000  10 Ge 3.23-3.36, 4 Os 3.37
Ce  0.6822  0.3178  0.5000  10 Ge 3.23-3.36, 4 Os 3.37
Ge  0.0834  0.9166  0.5000  2 Os 2.46
Ge  0.2217  0.7783  0.0000  1 Os 2.43, 2 Ge 2.62
Ge  0.4164  0.5836  0.0000  2 Os 2.46
Ge  0.5000  0.5000  0.5000  8 Ge 3.06-3.07, 4 Ce 3.07
Ge  0.5836  0.4164  0.0000  2 Os 2.46
Ge  0.7783  0.2217  0.0000  1 Os 2.43, 2 Ge 2.62
Ge  0.9166  0.0834  0.5000  2 Os 2.46
Os  0.1282  0.8718  0.0000  5 Ge 2.43-2.46
Os  0.8718  0.1282  0.0000  5 Ge 2.43-2.46

Properties
As for the crystal system: orthorhombic. As for the calculated total energy: -78.965 eV for the cell shown. Its density of states at the Fermi level is 15.24 states/eV/cell.

---

[12]
## Ce8GeOs2 (PBE-GGA)

Data for a relaxed structure of Ce8GeOs2.

Cell: 7.8624 7.8624 5.1025 Å, 97.60 97.60 115.53°
Closest atoms and distances in Å follow each position.
Sites, in units of the cell vectors:
Ce  0.0693  0.2829  0.5646  2 Ce 2.84-2.86, 2 Os 3.02-3.08
Ce  0.2456  0.7544  0.0000  2 Os 2.70
Ce  0.2829  0.0693  0.5646  2 Ce 2.84-2.86, 2 Os 3.02-3.08
Ce  0.3930  0.3930  0.1738  1 Ce 2.82, 2 Os 3.01
Ce  0.6070  0.6070  0.8262  1 Ce 2.82, 2 Os 3.01
Ce  0.7171  0.9307  0.4354  2 Ce 2.84-2.86, 2 Os 3.02-3.08
Ce  0.7544  0.2456  0.0000  2 Os 2.70
Ce  0.9307  0.7171  0.4354  2 Ce 2.84-2.86, 2 Os 3.02-3.08
Ge  0.0000  0.0000  0.0000  12 Ce 3.19-3.28
Os  0.3121  0.6879  0.5000  6 Ce 2.70-3.02
Os  0.6879  0.3121  0.5000  6 Ce 2.70-3.02

Properties
As for the crystal system: monoclinic. The energy relative to the lowest polymorph listed for this composition comes out at 41 meV/atom. As for the calculated total energy: -76.493 eV for the cell shown. Its density of states at the Fermi level is 26.18 states/eV/cell.

---

no.,calculated formation energy (eV per atom)
1,-0.31
2,-0.54
3,-0.54
4,-0.24
5,-0.45
6,-0.39
7,-0.22
8,-0.24
9,-0.60
10,-0.36
11,-0.53
12,-0.18